Arrangement a

BaDyNO | PBE | optimized geometry

Results
Space group: Pmc2_1 (26)

Cell and atoms, written as POSCAR:
```
BaDyNO
1.0
-1.993 -3.453 0.000
0.000 0.000 6.132
-6.167 3.560 0.000
Dy N Ba O
2 2 2 2
direct
0.000 0.992 0.656
0.000 0.492 0.344
0.000 0.347 0.627
0.000 0.847 0.373
0.500 0.987 0.179
0.500 0.487 0.821
0.500 0.428 0.201
0.500 0.928 0.799
```

Arrangement b

BaDyNO | PBE | optimized geometry

Results
Space group: P4/nmm (129)

Cell and atoms, written as POSCAR:
```
BaDyNO
1.0
-4.321 1.320 -1.364
-1.425 -4.496 0.161
-2.209 0.985 7.952
O N Dy Ba
2 2 2 2
direct
0.000 0.000 0.000
0.500 0.500 0.000
0.500 0.000 0.530
0.000 0.500 0.470
0.500 0.500 0.500
0.000 0.000 0.500
0.000 0.500 0.114
0.500 0.000 0.886
```

Arrangement c

BaDyNO | PBE | optimized geometry

Results
Space group: P4/nmm (129)

Cell and atoms, written as POSCAR:
```
BaDyNO
1.0
-2.235 -3.360 -2.561
4.193 -2.116 -0.882
-0.785 -4.062 6.015
N O Ba Dy
2 2 2 2
direct
0.250 0.250 0.657
0.750 0.750 0.343
0.250 0.750 0.000
0.750 0.250 0.000
0.250 0.750 0.500
0.750 0.250 0.500
0.750 0.750 0.059
0.250 0.250 0.941
```

Arrangement d

BaDyNO | PBE | optimized geometry

Results
Space group: Pca2_1 (29)

Cell and atoms, written as POSCAR:
```
BaDyNO
1.0
5.766 0.000 0.000
0.000 7.016 0.000
0.000 0.000 8.406
O N Dy Ba
4 4 4 4
direct
0.553 0.050 0.654
0.053 0.950 0.346
0.553 0.550 0.346
0.053 0.450 0.654
0.621 0.603 0.906
0.121 0.397 0.094
0.621 0.103 0.094
0.121 0.897 0.906
0.510 0.412 0.108
0.010 0.588 0.892
0.510 0.912 0.892
0.010 0.088 0.108
0.519 0.423 0.642
0.019 0.577 0.358
0.019 0.077 0.642
0.519 0.923 0.358
```

Computed relative energies in units of meV/atom: arrangement a 71; arrangement b 403; arrangement c 235; arrangement d 0

Arrangement a

BaDyNO | PBE | optimized geometry

Results
Space group: P4/nmm (129)

Cell and atoms, written as POSCAR:
```
BaDyNO
1.0
-4.522 -0.528 0.965
-0.434 -2.895 -3.617
1.930 -6.884 5.278
O N Ba Dy
2 2 2 2
direct
0.250 0.750 0.000
0.750 0.250 0.000
0.750 0.750 0.545
0.250 0.250 0.455
0.250 0.250 0.115
0.750 0.750 0.885
0.250 0.750 0.500
0.750 0.250 0.500
```

Arrangement b

BaDyNO | PBE | optimized geometry

Results
Space group: Pmc2_1 (26)

Cell and atoms, written as POSCAR:
```
BaDyNO
1.0
-1.618 3.528 -0.350
0.617 0.893 6.151
6.523 2.885 -1.073
Dy O Ba N
2 2 2 2
direct
0.500 0.498 0.847
0.500 0.998 0.153
0.500 0.848 0.876
0.500 0.348 0.124
0.000 0.987 0.666
0.000 0.487 0.334
0.000 0.921 0.297
0.000 0.421 0.703
```

Computed relative energies in units of meV/atom: arrangement a 328; arrangement b 0